(1)
# PBE FeReTc2, optimized geometry
data_FeReTc2
_symmetry_space_group_name_H-M 'P 4 m m'
_symmetry_Int_Tables_number 99
_symmetry_space_group_name_Hall 'P 4 -2'
_cell_length_a 3.125
_cell_length_b 3.125
_cell_length_c 5.729
_cell_angle_alpha 90.00
_cell_angle_beta 90.00
_cell_angle_gamma 90.00
loop_
_atom_site_label
_atom_site_type_symbol
_atom_site_fract_x
_atom_site_fract_y
_atom_site_fract_z
Fe1 Fe 0.000 0.000 0.000
Re1 Re 0.500 0.500 0.237
Tc1 Tc 0.000 0.000 0.502
Tc2 Tc 0.500 0.500 0.787
# - energy relative to the elements (meV/atom) = 162
# - volume (Å³ per atom) = 13.99
# - raw total energy (eV/atom) = -10.248
# - total moment (μB per atom) = 0.4391

***

(2)
# PBE Fe2ReTc, optimized geometry
data_Fe2ReTc
_symmetry_space_group_name_H-M 'C 1 2/m 1'
_symmetry_Int_Tables_number 12
_symmetry_space_group_name_Hall '-C 2y'
_cell_length_a 5.181
_cell_length_b 8.466
_cell_length_c 2.586
_cell_angle_alpha 90.00
_cell_angle_beta 107.87
_cell_angle_gamma 90.00
loop_
_atom_site_label
_atom_site_type_symbol
_atom_site_fract_x
_atom_site_fract_y
_atom_site_fract_z
Fe1 Fe 0.250 0.250 0.000
Re1 Re 0.000 0.000 0.500
Tc1 Tc 0.000 0.500 0.500
# - energy relative to the elements (meV/atom) = 149
# - volume (Å³ per atom) = 13.49
# - raw total energy (eV/atom) = -9.786
# - total moment (μB per atom) = 1.2796

***

(3)
# PBE Fe2ReTc, optimized geometry
data_Fe2ReTc
_symmetry_space_group_name_H-M 'I -4 2 d'
_symmetry_Int_Tables_number 122
_symmetry_space_group_name_Hall 'I -4 2bw'
_cell_length_a 6.509
_cell_length_b 6.509
_cell_length_c 5.170
_cell_angle_alpha 90.00
_cell_angle_beta 90.00
_cell_angle_gamma 90.00
loop_
_atom_site_label
_atom_site_type_symbol
_atom_site_fract_x
_atom_site_fract_y
_atom_site_fract_z
Fe1 Fe 0.246 0.750 0.125
Re1 Re 0.000 0.000 0.000
Tc1 Tc 0.000 0.000 0.500
# - energy relative to the elements (meV/atom) = 783
# - volume (Å³ per atom) = 13.69
# - raw total energy (eV/atom) = -9.152
# - total moment (μB per atom) = 0.0003